The following is a PBE calculation of a relaxed Sm6DyErTm2 crystal, from the Alexandria database.

## Properties
V (Å³/f.u.): 328.6
Density (g cm⁻³): 7.933
M_tot (μB/f.u.): 0.001
Fermi-level density of states (states/eV/cell): 56.75
Energy relative to the elements (eV/atom): 0.119
Crystal system: monoclinic

CIF file:
```
data_Sm6DyErTm2
_chemical_formula_sum 'Sm24 Dy4 Er4 Tm8'
_cell_length_a 9.170
_cell_length_b 15.131
_cell_length_c 9.549
_cell_angle_alpha 90.00
_cell_angle_beta 97.26
_cell_angle_gamma 90.00
_symmetry_space_group_name_H-M 'C 1 2/c 1'
_symmetry_Int_Tables_number 15
loop_
_symmetry_equiv_pos_as_xyz
'x,y,z'
'-x,-y,-z'
'-x,y,-z+1/2'
'x,-y,z+1/2'
'x+1/2,y+1/2,z'
'-x+1/2,-y+1/2,-z'
'-x+1/2,y+1/2,-z+1/2'
'x+1/2,-y+1/2,z+1/2'
loop_
_atom_site_label
_atom_site_type_symbol
_atom_site_fract_x
_atom_site_fract_y
_atom_site_fract_z
Sm1 Sm 0.061 0.179 0.446
Sm2 Sm 0.099 0.391 0.619
Sm3 Sm 0.213 0.224 0.814
Dy1 Dy 0.000 0.027 0.750
Er1 Er 0.000 0.410 0.250
Tm1 Tm 0.249 0.450 0.954
```